#one
A relaxed structure of Dy2ScO, computed with GGA-PBE. Values from VASP.

Properties
- Space-group type: No. 123

Cell and atoms, written as Quantum ESPRESSO input:
```
&SYSTEM
  ibrav = 0, nat = 4, ntyp = 3
/
ATOMIC_SPECIES
Dy 162.50 Dy.upf
Sc 44.96 Sc.upf
O 16.00 O.upf
ATOMIC_POSITIONS angstrom
Dy 0.000 0.000 1.532
Dy 0.000 0.000 6.912
Sc 1.562 1.562 4.222
O 1.562 1.562 0.000
CELL_PARAMETERS angstrom
3.125 0.000 0.000
0.000 3.125 0.000
0.000 0.000 8.444
```

#two
A relaxed structure of Dy2ScO, computed with GGA-PBE. Values from VASP.

Properties
- Space-group type: No. 166

Cell and atoms, written as Quantum ESPRESSO input:
```
&SYSTEM
  ibrav = 0, nat = 12, ntyp = 3
/
ATOMIC_SPECIES
Dy 162.50 Dy.upf
Sc 44.96 Sc.upf
O 16.00 O.upf
ATOMIC_POSITIONS angstrom
Dy 0.000 0.000 5.571
Dy 0.000 0.000 19.582
Dy 0.000 2.009 11.197
Dy 0.000 2.009 22.340
Dy 1.740 1.004 2.813
Dy 1.740 1.004 13.956
Sc 0.000 0.000 0.000
Sc 0.000 2.009 16.769
Sc 1.740 1.004 8.384
O 0.000 0.000 12.577
O 0.000 2.009 4.192
O 1.740 1.004 20.961
CELL_PARAMETERS angstrom
3.479 0.000 0.000
-1.740 3.013 0.000
0.000 0.000 25.153
```

Relative energies in meV/atom: #one 461; #two 0

#one
A relaxed structure of Dy2Se3O12, computed with GGA-PBE. Values from VASP.

Properties
- Space-group type: No. 60

Cell and atoms, written as Quantum ESPRESSO input:
```
&SYSTEM
  ibrav = 0, nat = 68, ntyp = 3
/
ATOMIC_SPECIES
Dy 162.50 Dy.upf
Se 78.96 Se.upf
O 16.00 O.upf
ATOMIC_POSITIONS angstrom
Dy 1.588 2.421 0.360
Dy 1.588 7.288 5.253
Dy 5.141 2.433 5.253
Dy 5.141 7.276 0.360
Dy 8.317 2.433 9.425
Dy 8.317 7.276 4.532
Dy 11.869 2.421 4.532
Dy 11.869 7.288 9.425
Se 0.000 4.529 7.339
Se 0.000 5.180 2.446
Se 1.971 1.034 3.793
Se 1.971 8.675 8.685
Se 4.758 3.821 8.685
Se 4.758 5.888 3.793
Se 6.729 0.325 2.446
Se 6.729 9.384 7.339
Se 8.699 3.821 5.992
Se 8.699 5.888 1.100
Se 11.487 1.034 1.100
Se 11.487 8.675 5.992
O 0.451 1.608 4.142
O 0.451 8.101 9.034
O 0.870 3.562 8.366
O 0.870 6.147 3.474
O 1.076 4.238 1.600
O 1.076 5.471 6.492
O 2.006 0.618 8.861
O 2.006 9.091 3.969
O 2.370 1.402 2.221
O 2.370 8.307 7.114
O 3.048 1.729 4.849
O 3.048 7.980 9.741
O 3.681 3.125 9.741
O 3.681 6.584 4.849
O 4.358 3.452 7.114
O 4.358 6.257 2.221
O 4.723 4.236 3.969
O 4.723 5.473 8.861
O 5.653 0.617 6.492
O 5.653 9.092 1.600
O 5.859 1.292 3.474
O 5.859 8.417 8.366
O 6.277 3.246 9.034
O 6.277 6.463 4.142
O 7.180 3.246 5.643
O 7.180 6.463 0.750
O 7.599 1.292 1.419
O 7.599 8.417 6.311
O 7.805 0.617 8.185
O 7.805 9.092 3.293
O 8.734 4.236 0.924
O 8.734 5.473 5.816
O 9.099 3.452 7.563
O 9.099 6.257 2.671
O 9.776 3.125 4.936
O 9.776 6.584 0.043
O 10.410 1.729 0.043
O 10.410 7.980 4.936
O 11.087 1.402 2.671
O 11.087 8.307 7.563
O 11.452 0.618 5.816
O 11.452 9.091 0.924
O 12.381 4.238 3.293
O 12.381 5.471 8.185
O 12.587 3.562 6.311
O 12.587 6.147 1.419
O 13.006 1.608 0.750
O 13.006 8.101 5.643
CELL_PARAMETERS angstrom
13.457 0.000 0.000
0.000 9.709 0.000
0.000 0.000 9.785
```

#two
A relaxed structure of Dy2Se3O12, computed with GGA-PBE. Values from VASP.

Properties
- Space-group type: No. 15

Cell and atoms, written as Quantum ESPRESSO input:
```
&SYSTEM
  ibrav = 0, nat = 34, ntyp = 3
/
ATOMIC_SPECIES
Dy 162.50 Dy.upf
Se 78.96 Se.upf
O 16.00 O.upf
ATOMIC_POSITIONS angstrom
Dy 0.926 1.460 0.996
Dy -0.848 -1.460 6.354
Dy 4.428 1.460 4.362
Dy 2.654 -1.460 9.720
Se 2.677 4.282 2.679
Se 0.861 1.386 4.537
Se -0.913 -1.386 9.895
Se 4.493 1.386 0.821
Se 2.719 -1.386 6.179
Se 0.903 -4.282 8.037
O 1.344 3.394 2.250
O 3.089 5.215 1.316
O 2.264 5.215 4.042
O 0.544 3.606 6.490
O 3.107 2.315 0.458
O 1.235 0.631 3.090
O 0.530 0.384 5.818
O 1.262 3.606 9.584
O 2.246 2.315 4.900
O -0.539 -0.631 8.448
O 2.304 -0.384 0.460
O 4.010 3.394 3.108
O -0.430 -3.394 7.608
O 1.276 0.384 10.256
O 4.118 0.631 2.268
O 1.333 -2.315 5.816
O 2.318 -3.606 1.132
O 3.050 -0.384 4.898
O 2.345 -0.631 7.626
O 0.472 -2.315 10.258
O 3.036 -3.606 4.226
O 1.316 -5.215 6.674
O 0.490 -5.215 9.400
O 2.236 -3.394 8.466
CELL_PARAMETERS angstrom
3.564 -5.865 0.000
3.564 5.865 0.000
-3.548 0.000 10.716
```

Relative energies in meV/atom: #one 0; #two 79

#one
A relaxed structure of Dy2SiO5, computed with GGA-PBE. Values from VASP.

Properties
- Space-group type: No. 62

Cell and atoms, written as Quantum ESPRESSO input:
```
&SYSTEM
  ibrav = 0, nat = 32, ntyp = 3
/
ATOMIC_SPECIES
Dy 162.50 Dy.upf
Si 28.09 Si.upf
O 16.00 O.upf
ATOMIC_POSITIONS angstrom
Dy 1.022 0.920 2.330
Dy 1.423 0.920 5.963
Dy 3.674 2.760 0.561
Dy 4.075 2.760 7.733
Dy 6.119 0.920 3.072
Dy 6.520 0.920 10.244
Dy 8.771 2.760 4.841
Dy 9.172 2.760 8.474
Si 1.861 0.920 9.418
Si 3.236 2.760 4.016
Si 6.958 0.920 6.788
Si 8.333 2.760 1.386
O 0.105 2.760 6.538
O 0.251 0.920 9.105
O 2.263 0.920 0.267
O 2.301 2.760 9.445
O 2.387 2.760 2.524
O 2.710 0.920 7.926
O 2.796 0.920 4.043
O 2.834 2.760 5.669
O 4.846 2.760 3.703
O 4.992 0.920 1.136
O 5.202 2.760 9.668
O 5.348 0.920 7.102
O 7.359 0.920 5.135
O 7.398 2.760 6.762
O 7.484 2.760 2.878
O 7.807 0.920 8.280
O 7.893 0.920 1.360
O 7.931 2.760 10.538
O 9.943 2.760 1.700
O 10.089 0.920 4.266
CELL_PARAMETERS angstrom
10.194 0.000 0.000
0.000 3.680 0.000
0.000 0.000 10.805
```

#two
A relaxed structure of Dy2SiO5, computed with GGA-PBE. Values from VASP.

Properties
- Space-group type: No. 14

Cell and atoms, written as Quantum ESPRESSO input:
```
&SYSTEM
  ibrav = 0, nat = 32, ntyp = 3
/
ATOMIC_SPECIES
Dy 162.50 Dy.upf
Si 28.09 Si.upf
O 16.00 O.upf
ATOMIC_POSITIONS angstrom
Dy -0.166 0.858 1.505
Dy -1.089 2.591 4.751
Dy 3.310 0.960 0.369
Dy 2.387 2.489 3.615
Dy 4.907 4.409 2.876
Dy 3.984 5.938 6.122
Dy 8.383 4.307 1.740
Dy 7.460 6.040 4.986
Si 2.689 4.068 0.165
Si 1.766 6.278 3.410
Si 5.528 0.619 3.081
Si 4.605 2.830 6.326
O -0.697 0.822 6.101
O 0.227 2.627 2.855
O -0.776 4.388 6.414
O 0.147 5.959 3.169
O 2.044 0.491 2.191
O 1.121 2.958 5.437
O 2.068 0.347 4.702
O 2.991 3.102 1.457
O 2.662 4.941 3.377
O 3.585 5.406 0.132
O 3.709 1.492 6.359
O 4.632 1.957 3.114
O 4.303 3.796 5.034
O 5.226 6.551 1.789
O 6.173 3.940 1.054
O 5.250 6.407 4.300
O 7.147 0.939 3.322
O 8.070 2.510 0.077
O 7.067 4.271 3.636
O 7.990 6.076 0.390
CELL_PARAMETERS angstrom
9.140 0.000 0.000
0.000 6.898 0.000
-1.846 0.000 6.491
```

Relative energies in meV/atom: #one 58; #two 0